Computed, not measured: crystalline CsRbTe at its relaxed geometry at the GGA-PBE level of DFT.

The calculation puts the formation energy without anion corrections at -1.017 eV/atom. The density of states at the Fermi level is 0.0 states/eV per cell. For the magnetic moment, the calculation gives 0.00 Bohr magnetons per cell.

The space group is P4/nmm (No. 129, origin choice 2) and the conventional cell measures 6.2071, 6.2071 and 8.7935 Å, with angles of 90.00, 90.00 and 90.00 degrees. Symmetry generates all atoms from Cs at (0.2500, 0.7500, 0.0000), Rb at (0.2500, 0.7500, 0.5000) and Te at (0.2500, 0.2500, 0.2624).

---

Computed, not measured: crystalline PaTa2C4 at its relaxed geometry at the GGA-PBE level of DFT.

The density of states at the Fermi level is 15.6 states/eV per cell. The formation energy is -0.105 eV/atom. For the magnetic moment, the calculation gives 0.00 Bohr magnetons per cell.

The space group is Cmcm (No. 63) and the conventional cell measures 3.2312, 10.5241 and 10.3569 Å, with angles of 90.00, 90.00 and 90.00 degrees. Symmetry generates all atoms from Pa at (0.0000, 0.1034, 0.2500), Ta at (0.0000, 0.3670, 0.0589), C at (0.0000, 0.0000, 0.0000), C at (0.0000, 0.2658, 0.6265) and C at (0.0000, 0.4395, 0.2500).

---

Computed, not measured: crystalline La3Al2SnPt9 at its relaxed geometry at the GGA-PBE level of DFT.

The density of states at the Fermi level is 8.7 states/eV per cell. The formation energy is -0.810 eV/atom. For the magnetic moment, the calculation gives 0.00 Bohr magnetons per cell.

The space group is P-3m1 (No. 164) and the conventional cell measures 5.7689, 5.7689 and 11.6271 Å, with angles of 90.00, 90.00 and 120.00 degrees. Symmetry generates all atoms from La at (0.0000, 0.0000, 0.0000), La at (0.3333, 0.6667, 0.6097), Al at (0.3333, 0.6667, 0.1601), Sn at (0.0000, 0.0000, 0.5000), Pt at (0.0000, 0.5000, 0.0000) and Pt at (0.1672, 0.3343, 0.3182).

---

It is found that the energy values, taken in the order of the records, are -8.0, -70.8, -92.8 eV per formula unit.